No. 1
A relaxed structure of LiCd2P. Source: Alexandria, functional PBE.

The space group is P4/mmm (No. 123) and the conventional cell measures 3.0066, 3.0066 and 8.4850 Å, with angles of 90.00, 90.00 and 90.00 degrees. The distinct sites, in fractional coordinates, are Li at (0.0000, 0.0000, 0.0000), Cd at (0.5000, 0.5000, 0.2448) and P at (0.0000, 0.0000, 0.5000).

The calculation puts the magnetic moment at 0.0 μB/f.u. The energy of formation from the pure elements is 0.070 eV/atom.

No. 2
A relaxed structure of LiCdP. Source: Alexandria, functional PBE.

The space group is Imm2 (No. 44) and the conventional cell measures 2.8839, 3.9030 and 9.4366 Å, with angles of 90.00, 90.00 and 90.00 degrees. The distinct sites, in fractional coordinates, are Li at (0.0000, 0.0000, 0.0000), Cd at (0.0000, 0.0000, 0.6941) and P at (0.0000, 0.0000, 0.3850).

The calculation puts the magnetic moment at 0.0 μB/f.u. The energy of formation from the pure elements is -0.077 eV/atom.

No. 3
A relaxed structure of LiCdP. Source: Alexandria, functional PBE.

The space group is I4mm (No. 107) and the conventional cell measures 2.8720, 2.8720 and 12.8664 Å, with angles of 90.00, 90.00 and 90.00 degrees. The distinct sites, in fractional coordinates, are Li at (0.0000, 0.0000, 0.0000), Cd at (0.0000, 0.0000, 0.3219) and P at (0.0000, 0.0000, 0.6310).

The calculation puts the magnetic moment at 0.0 μB/f.u. The energy of formation from the pure elements is -0.045 eV/atom.

No. 4
A relaxed structure of LiCdP4. Source: Alexandria, functional PBE.

The space group is F-43m (No. 216) and the conventional cell measures 7.9695, 7.9695 and 7.9695 Å, with angles of 90.00, 90.00 and 90.00 degrees. The distinct sites, in fractional coordinates, are Li at (0.0000, 0.0000, 0.0000), Cd at (0.2500, 0.2500, 0.2500) and P at (0.1016, 0.1016, 0.6016).

The calculation puts the magnetic moment at 0.0 μB/f.u. The energy of formation from the pure elements is 0.254 eV/atom.

No. 5
A relaxed structure of LiCdP2. Source: Alexandria, functional PBE.

The space group is Cmm2 (No. 35) and the conventional cell measures 3.2311, 6.8740 and 8.2182 Å, with angles of 90.00, 90.00 and 90.00 degrees. The distinct sites, in fractional coordinates, are Li at (0.0000, 0.0000, 0.0000), Cd at (0.0000, 0.5000, 0.7122), P at (0.0000, 0.0000, 0.4052) and P at (0.0000, 0.5000, 0.2379).

The calculation puts the magnetic moment at 0.0 μB/f.u. The energy of formation from the pure elements is 0.098 eV/atom.

No. 6
A relaxed structure of LiCdP2. Source: Alexandria, functional PBE.

The space group is Pm (No. 6) and the conventional cell measures 2.6723, 4.1262 and 7.0670 Å, with angles of 90.00, 100.80 and 90.00 degrees. The distinct sites, in fractional coordinates, are Li at (0.0000, 0.0000, 0.0000), Cd at (0.2594, 0.5000, 0.5262), P at (0.4494, 0.5000, 0.8960) and P at (0.6636, 0.0000, 0.3265).

The calculation puts the magnetic moment at 0.0 μB/f.u. The energy of formation from the pure elements is 0.021 eV/atom.